*A*
This record from the Alexandria database describes a relaxed structure of Tb2Y8Sc3. The functional is GGA-PBE.

Cell lengths 14.6504, 8.7588, 6.5898 Å; angles 90.00, 98.42, 90.00 degrees
Closest atoms and distances in Å follow each position.
Space group C2/m (No. 12)
Asymmetric unit:
Tb (0.2002, 0.0000, 0.2844) (multiplicity 4)  7 Y 3.22-3.52, 3 Sc 3.44-3.54
Y (0.0879, 0.5000, 0.8852) (multiplicity 4)  3 Y 3.17-3.48, 2 Sc 3.35, 1 Tb 3.45
Y (0.1103, 0.3165, 0.4264) (multiplicity 8)  3 Y 3.21-3.51, 2 Tb 3.26-3.52, 2 Sc 3.28-3.31
Y (0.1919, 0.0000, 0.7926) (multiplicity 4)  1 Sc 3.17, 2 Tb 3.22-3.37
Sc (0.0000, 0.0000, 0.5000) (multiplicity 2)  6 Y 3.17-3.28, 2 Tb 3.44
Sc (0.0000, 0.1633, 0.0000) (multiplicity 4)  1 Sc 2.86

*B*
This record from the Alexandria database describes a relaxed structure of Tb2Y8Sc3. The functional is GGA-PBE.

Cell lengths 7.5412, 19.7163, 5.5230 Å; angles 90.00, 90.00, 90.00 degrees
Closest atoms and distances in Å follow each position.
Space group Cmmm (No. 65)
Asymmetric unit:
Tb (0.0000, 0.2396, 0.0000) (multiplicity 4)  8 Y 3.33-3.55
Y (0.0000, 0.1263, 0.5000) (multiplicity 4)  4 Sc 3.32-3.72, 2 Tb 3.55, 4 Y 3.56
Y (0.0000, 0.3341, 0.5000) (multiplicity 4)  2 Tb 3.33, 4 Y 3.43, 2 Sc 3.63
Y (0.2104, 0.3992, 0.0000) (multiplicity 8)  1 Sc 2.95, 1 Y 3.17
Sc (0.0000, 0.0000, 0.0000) (multiplicity 2)  4 Y 2.95
Sc (0.2087, 0.5000, 0.5000) (multiplicity 4)  1 Sc 3.15, 6 Y 3.32-3.40

Most stable of them? *B*.

*A*
This record from the Alexandria database describes a relaxed structure of Tb2Y5Sc2. The functional is GGA-PBE.

Cell lengths 16.3359, 10.5640, 6.5686 Å; angles 90.00, 90.00, 90.00 degrees
Closest atoms and distances in Å follow each position.
Space group Ima2 (No. 46)
Asymmetric unit:
Tb (0.0000, 0.0000, 0.0000) (multiplicity 4)  6 Y 3.15-3.34, 2 Sc 3.43
Tb (0.2500, 0.0176, 0.2076) (multiplicity 4)  2 Sc 3.29, 4 Y 3.36-3.56
Y (0.0543, 0.2442, 0.7077) (multiplicity 8)  2 Tb 3.15-3.34, 3 Y 3.29-3.45, 2 Sc 3.32-3.52
Y (0.1532, 0.6914, 0.3668) (multiplicity 8)  3 Y 3.16-3.51, 2 Sc 3.22-3.27, 2 Tb 3.33-3.52
Y (0.2500, 0.1213, 0.7235) (multiplicity 4)  2 Tb 3.36-3.56, 2 Y 3.45, 2 Sc 3.55
Sc (0.0835, 0.5314, 0.9769) (multiplicity 8)  1 Sc 2.81

*B*
This record from the Alexandria database describes a relaxed structure of Tb2Y5Sc2. The functional is GGA-PBE.

Cell lengths 18.3101, 3.5474, 9.3751 Å; angles 90.00, 115.77, 90.00 degrees
Closest atoms and distances in Å follow each position.
Space group C2/m (No. 12)
Asymmetric unit:
Tb (0.1419, 0.0000, 0.1566) (multiplicity 4)  4 Sc 3.38-3.45, 6 Y 3.43-3.62, 2 Tb 3.55
Y (0.0000, 0.0000, 0.5000) (multiplicity 2)  8 Y 3.45-3.55, 4 Sc 3.50
Y (0.1652, 0.5000, 0.4949) (multiplicity 4)  1 Sc 3.44, 3 Tb 3.49-3.62, 8 Y 3.52-3.55
Y (0.1836, 0.0000, 0.8332) (multiplicity 4)  3 Tb 3.43-3.62, 7 Y 3.45-3.55, 2 Sc 3.52
Sc (0.0180, 0.5000, 0.8358) (multiplicity 4)  4 Tb 3.38-3.45, 3 Sc 3.42-3.55, 5 Y 3.44-3.52

Most stable of them? *B*.

*A*
This record from the Alexandria database describes a relaxed structure of Tb3Y2Sc4. The functional is GGA-PBE.

Cell lengths 14.5666, 4.8299, 7.6806 Å; angles 90.00, 108.18, 90.00 degrees
Closest atoms and distances in Å follow each position.
Space group C2/m (No. 12)
Asymmetric unit:
Tb (0.0000, 0.0000, 0.0000) (multiplicity 2)  6 Sc 3.40-3.46, 4 Tb 3.41, 2 Y 3.46
Tb (0.0513, 0.5000, 0.3300) (multiplicity 4)  6 Sc 3.38-3.49, 3 Tb 3.39-3.41, 3 Y 3.49-3.50
Y (0.2249, 0.0000, 0.3286) (multiplicity 4)  6 Sc 3.34-3.51, 4 Tb 3.46-3.50, 2 Y 3.48
Sc (0.1118, 0.0000, 0.6715) (multiplicity 4)  5 Tb 3.38-3.47, 4 Sc 3.39-3.49, 3 Y 3.39-3.51
Sc (0.1698, 0.5000, 0.9998) (multiplicity 4)  3 Y 3.34-3.40, 5 Sc 3.36-3.40, 4 Tb 3.42-3.49

*B*
This record from the Alexandria database describes a relaxed structure of Tb3Y2Sc4. The functional is GGA-PBE.

Cell lengths 15.9289, 11.3185, 5.7693 Å; angles 90.00, 97.41, 90.00 degrees
Closest atoms and distances in Å follow each position.
Space group C2/c (No. 15)
Asymmetric unit:
Tb (0.0000, 0.1535, 0.2500) (multiplicity 4)  2 Sc 3.16, 4 Y 3.45-3.46
Tb (0.1632, 0.3857, 0.1016) (multiplicity 8)  8 Sc 3.15-3.46, 1 Y 3.48
Y (0.1168, 0.1134, 0.7908) (multiplicity 8)  4 Sc 3.35-3.48, 5 Tb 3.45-3.59, 1 Y 3.69
Sc (0.0531, 0.3828, 0.5440) (multiplicity 8)  3 Sc 3.09-3.42, 5 Tb 3.15-3.46
Sc (0.2310, 0.1395, 0.3456) (multiplicity 8)  2 Sc 3.08-3.42, 4 Tb 3.24-3.42, 2 Y 3.35-3.38

Most stable of them? *A*.

*A*
This record from the Alexandria database describes a relaxed structure of Tb3Y2Sc. The functional is GGA-PBE.

Cell lengths 4.9707, 14.9288, 4.9637 Å; angles 90.00, 90.00, 90.00 degrees
Closest atoms and distances in Å follow each position.
Space group Cmmm (No. 65)
Asymmetric unit:
Tb (0.0000, 0.0000, 0.0000) (multiplicity 2)  4 Y 3.48, 4 Tb 3.49, 4 Sc 3.51
Tb (0.0000, 0.3356, 0.0000) (multiplicity 4)  2 Sc 3.49, 4 Tb 3.49-3.56, 6 Y 3.51-3.57
Y (0.0000, 0.1637, 0.5000) (multiplicity 4)  8 Tb 3.48-3.57, 2 Sc 3.49, 2 Y 3.58
Sc (0.0000, 0.5000, 0.5000) (multiplicity 2)  4 Y 3.49, 8 Tb 3.49-3.51

*B*
This record from the Alexandria database describes a relaxed structure of Tb3Y2Sc. The functional is GGA-PBE.

Cell lengths 17.1945, 6.4822, 6.7628 Å; angles 90.00, 93.82, 90.00 degrees
Closest atoms and distances in Å follow each position.
Space group C2/c (No. 15)
Asymmetric unit:
Tb (0.0000, 0.1732, 0.2500) (multiplicity 4)  4 Sc 3.18-3.51, 2 Tb 3.53
Tb (0.1427, 0.4603, 0.0184) (multiplicity 8)  2 Sc 3.10-3.33, 2 Y 3.33-3.44, 2 Tb 3.42
Y (0.1834, 0.0658, 0.6846) (multiplicity 8)  6 Tb 3.33-3.64, 2 Y 3.49, 1 Sc 3.60
Sc (0.0000, 0.3167, 0.7500) (multiplicity 4)  6 Tb 3.10-3.33

Most stable of them? *A*.